(1)
# NaS2N

Crystalline NaS2N at its relaxed geometry (GGA-PBE, Alexandria).

- raw formation energy (eV per atom) = 0.4810

Structure (CIF):
```
data_NaS2N
_chemical_formula_sum 'Na2 S4 N2'
_space_group_name_H-M_alt 'P 1'
_space_group_IT_number 1
_space_group_name_Hall 'P 1'
_cell_length_a 6.211
_cell_length_b 6.211
_cell_length_c 5.899
_cell_angle_alpha 58.24
_cell_angle_beta 58.24
_cell_angle_gamma 90.00
loop_
_atom_site_label
_atom_site_fract_x
_atom_site_fract_y
_atom_site_fract_z
_atom_site_occupancy
Na1 0.000 0.000 0.000 1
Na2 0.750 0.250 0.500 1
S1 0.490 0.125 0.250 1
S2 0.260 0.625 0.250 1
S3 0.375 0.510 0.750 1
S4 0.875 0.740 0.750 1
N1 0.500 0.500 0.000 1
N2 0.250 0.750 0.500 1
```

***

(2)
# Mg2ScSb

Crystalline Mg2ScSb at its relaxed geometry (GGA-PBE, Alexandria).

- raw formation energy (eV per atom) = -0.3387

Structure (CIF):
```
data_Mg2ScSb
_chemical_formula_sum 'Mg2 Sc1 Sb1'
_space_group_name_H-M_alt 'P 1'
_space_group_IT_number 1
_space_group_name_Hall 'P 1'
_cell_length_a 5.661
_cell_length_b 5.661
_cell_length_c 5.661
_cell_angle_alpha 135.17
_cell_angle_beta 135.01
_cell_angle_gamma 65.39
loop_
_atom_site_label
_atom_site_fract_x
_atom_site_fract_y
_atom_site_fract_z
_atom_site_occupancy
Mg1 0.000 0.000 0.000 1
Mg2 0.750 0.250 0.500 1
Sb1 0.500 0.500 0.000 1
Sc1 0.250 0.750 0.500 1
```

***

Total moment, respectively: 0.000; 0.000 μB per cell.
Density of states at the Fermi level, respectively: 0.0; 3.0 states/eV per cell.